Density functional theory data (meta-GGA SCAN) for a PBEsol-optimized structure of CoPbSe2.

VASP energy: -33.586 eV per atom
N(E_F): 0.478 states/eV/atom
ΔE_f (raw): -0.275 eV/atom
calculated density: 8.67 g cm⁻³

Geometry as CIF:
```
data_CoPbSe2
_cell_length_a 3.4446
_cell_length_b 3.4446
_cell_length_c 23.6993
_cell_angle_alpha 90.00
_cell_angle_beta 90.00
_cell_angle_gamma 120.00
_symmetry_space_group_name_H-M 'R -3 m'
_symmetry_Int_Tables_number 166
_symmetry_space_group_name_Hall '-R 3 2"'
loop_
_atom_site_label
_atom_site_fract_x
_atom_site_fract_y
_atom_site_fract_z
Co1 0.0000 0.0000 0.0000
Pb1 0.0000 0.0000 0.5000
Se1 0.0000 0.0000 0.2804
```